Record 1
An optimized crystal structure of BeIr2Pt, computed with PBE-GGA.

```
BeIr2Pt
1.0
-6.4265 -5.2047 -2.1527
-4.3504 -6.9618 -2.3728
-5.5170 -6.5255 0.0551
Pt Ir Be
1 2 1
Direct
0.2500 0.2500 0.2500 Pt
0.4896 0.4896 0.4896 Ir
0.0104 0.0104 0.0104 Ir
0.7500 0.7500 0.7500 Be
```

Record 2
An optimized crystal structure of BeIrPt3, computed with PBE-GGA.

```
BeIrPt3
1.0
4.8301 0.0000 0.0000
0.0000 4.8301 0.0000
0.0000 0.0000 4.8301
Be Pt Ir
1 3 1
Direct
0.5000 0.5000 0.5000 Be
0.5000 0.0000 0.0000 Pt
0.0000 0.0000 0.5000 Pt
0.0000 0.5000 0.0000 Pt
0.0000 0.0000 0.0000 Ir
```

Record 3
An optimized crystal structure of BeIrPt2, computed with PBE-GGA.

```
BeIrPt2
1.0
3.8553 0.0000 0.0000
0.0000 2.7717 -0.0010
0.0000 1.6575 5.1981
Pt Be Ir
2 1 1
Direct
0.0000 0.3944 0.4818 Pt
0.0000 0.1056 0.0182 Pt
0.5000 0.2500 0.2500 Be
0.5000 0.7500 0.7500 Ir
```

Record 4
An optimized crystal structure of BeIrPt2, computed with PBE-GGA.

```
BeIrPt2
1.0
-0.2688 3.0219 2.2498
-1.1498 -2.2163 2.8396
3.7094 -0.4986 1.1129
Pt Be Ir
2 1 1
Direct
0.5000 0.5000 0.0000 Pt
0.0000 0.0000 0.0000 Pt
0.5000 0.0000 0.5000 Be
0.0000 0.5000 0.5000 Ir
```

Record 5
An optimized crystal structure of Be4Ir3Pt, computed with PBE-GGA.

```
Be4Ir3Pt
1.0
-0.0934 -2.6890 0.8240
2.4712 0.3151 1.3084
-5.3845 3.0761 9.4286
Be Ir Pt
4 3 1
Direct
0.0000 0.0000 0.1338 Be
0.0000 0.0000 0.3752 Be
0.0000 0.0000 0.8662 Be
0.0000 0.0000 0.6248 Be
0.5000 0.5000 0.2525 Ir
0.5000 0.5000 0.5000 Ir
0.5000 0.5000 0.7475 Ir
0.5000 0.5000 0.0000 Pt
```

Record 6
An optimized crystal structure of Be4IrPt3, computed with PBE-GGA.

```
Be4IrPt3
1.0
2.8397 0.0000 0.0000
0.0000 2.8397 0.0000
0.0000 0.0000 11.3053
Be Pt Ir
4 3 1
Direct
0.0000 0.0000 0.3711 Be
0.0000 0.0000 0.6289 Be
0.0000 0.0000 0.8881 Be
0.0000 0.0000 0.1119 Be
0.5000 0.5000 0.7504 Pt
0.5000 0.5000 0.2496 Pt
0.5000 0.5000 0.5000 Pt
0.5000 0.5000 0.0000 Ir
```

Record 7
An optimized crystal structure of BeIr2Pt, computed with PBE-GGA.

```
BeIr2Pt
1.0
3.8482 0.0000 0.0000
0.0000 3.7789 0.0000
0.0000 0.0000 3.7789
Pt Ir Be
1 2 1
Direct
0.5000 0.5000 0.0000 Pt
0.0000 0.5000 0.5000 Ir
0.0000 0.0000 0.0000 Ir
0.5000 0.0000 0.5000 Be
```

Record 8
An optimized crystal structure of BeIr2Pt, computed with PBE-GGA.

```
BeIr2Pt
1.0
-0.3287 -1.4453 2.2890
-0.6867 -1.0796 -2.4082
7.9224 -3.1460 -0.8488
Be Pt Ir
1 1 2
Direct
0.5000 0.5000 0.7521 Be
0.0000 0.0000 0.5334 Pt
0.0000 0.0000 0.9710 Ir
0.5000 0.5000 0.2436 Ir
```

Record 9
An optimized crystal structure of BeIr2Pt, computed with PBE-GGA.

```
BeIr2Pt
1.0
2.7375 0.0000 0.0000
0.0000 3.5869 0.0000
0.0000 0.0000 5.5655
Pt Ir Be
1 2 1
Direct
0.5000 0.5000 0.2500 Pt
0.0000 0.0000 0.9763 Ir
0.0000 0.0000 0.5237 Ir
0.5000 0.5000 0.7500 Be
```

Record 10
An optimized crystal structure of BeIrPt4, computed with PBE-GGA.

```
BeIrPt4
1.0
0.0000 3.6644 3.6644
3.6644 0.0000 3.6644
3.6644 3.6644 0.0000
Pt Be Ir
4 1 1
Direct
0.6252 0.6252 0.6252 Pt
0.6252 0.6252 0.1245 Pt
0.6252 0.1245 0.6252 Pt
0.1245 0.6252 0.6252 Pt
0.2500 0.2500 0.2500 Be
0.0000 0.0000 0.0000 Ir
```

Record 11
An optimized crystal structure of BeIrPt2, computed with PBE-GGA.

```
BeIrPt2
1.0
-1.8548 -1.0393 -3.0737
2.7582 -2.3696 -0.8632
-3.5503 -8.0206 2.5823
Be Pt Ir
2 4 2
Direct
0.5000 0.5000 0.0000 Be
0.2500 0.7500 0.5000 Be
0.6199 0.1250 0.2500 Pt
0.3750 0.3801 0.7500 Pt
0.1301 0.6250 0.2500 Pt
0.8750 0.8699 0.7500 Pt
0.0000 0.0000 0.0000 Ir
0.7500 0.2500 0.5000 Ir
```

Record 12
An optimized crystal structure of BeIr2Pt, computed with PBE-GGA.

```
BeIr2Pt
1.0
-2.4881 0.9796 2.5146
1.9012 -1.7911 2.5789
4.3431 6.9791 4.2575
Be Pt Ir
2 2 4
Direct
0.5000 0.5000 0.0000 Be
0.2500 0.7500 0.5000 Be
0.7500 0.2500 0.5000 Pt
0.0000 0.0000 0.0000 Pt
0.8750 0.8623 0.7500 Ir
0.1377 0.6250 0.2500 Ir
0.6123 0.1250 0.2500 Ir
0.3750 0.3877 0.7500 Ir
```

Record 13
An optimized crystal structure of Be2Ir2Pt, computed with PBE-GGA.

```
Be2Ir2Pt
1.0
-5.9331 -2.7207 -0.6807
2.2256 -5.5367 2.7310
-0.7288 0.9559 2.5317
Be Ir Pt
4 4 2
Direct
0.6262 0.1262 0.0000 Be
0.8738 0.6262 0.0000 Be
0.3738 0.8738 0.0000 Be
0.1262 0.3738 0.0000 Be
0.6676 0.8324 0.5000 Ir
0.8324 0.3324 0.5000 Ir
0.1676 0.6676 0.5000 Ir
0.3324 0.1676 0.5000 Ir
0.5000 0.5000 0.0000 Pt
0.0000 0.0000 0.0000 Pt
```

Record 14
An optimized crystal structure of Be2Ir2Pt, computed with PBE-GGA.

```
Be2Ir2Pt
1.0
-1.4328 6.5898 0.9897
-1.8830 -1.3714 6.4055
2.5727 0.4319 0.8488
Pt Ir Be
2 4 4
Direct
0.0000 0.0000 0.0000 Pt
0.5000 0.5000 0.0000 Pt
0.1355 0.3645 0.0000 Ir
0.8645 0.6355 0.0000 Ir
0.3645 0.8645 0.0000 Ir
0.6355 0.1355 0.0000 Ir
0.8368 0.3368 0.5000 Be
0.6632 0.8368 0.5000 Be
0.3368 0.1632 0.5000 Be
0.1632 0.6632 0.5000 Be
```

Record 15
An optimized crystal structure of BeIr2Pt, computed with PBE-GGA.

```
BeIr2Pt
1.0
5.0503 -0.0083 -0.0005
2.4019 4.4425 0.0005
-3.1885 -3.1206 2.3666
Pt Ir Be
1 2 1
Direct
0.4626 0.4626 0.0000 Pt
0.7522 0.2522 0.5000 Ir
0.0358 0.0358 0.0000 Ir
0.2494 0.7494 0.5000 Be
```

Record 16
An optimized crystal structure of BeIr2Pt, computed with PBE-GGA.

```
BeIr2Pt
1.0
-0.7098 2.1874 -4.6792
2.6294 -1.5946 -4.2103
-3.3130 -1.0507 3.8863
Ir Be Pt
2 1 1
Direct
0.0414 0.0414 0.0000 Ir
0.4586 0.4586 0.0000 Ir
0.2500 0.7500 0.5000 Be
0.7500 0.2500 0.5000 Pt
```

Record 17
An optimized crystal structure of BeIrPt2, computed with PBE-GGA.

```
BeIrPt2
1.0
2.7475 0.0000 0.0000
0.0000 3.7510 0.0000
0.0000 0.0000 5.4312
Be Pt Ir
1 2 1
Direct
0.5000 0.5000 0.2500 Be
0.0000 0.0000 0.4911 Pt
0.0000 0.0000 0.0089 Pt
0.5000 0.5000 0.7500 Ir
```

Record 18
An optimized crystal structure of BeIrPt2, computed with PBE-GGA.

```
BeIrPt2
1.0
4.5673 0.0000 0.0000
0.0000 4.5673 0.0000
0.0000 0.0000 2.7323
Pt Be Ir
2 1 1
Direct
0.0000 0.0000 0.0000 Pt
0.5000 0.5000 0.0000 Pt
0.5000 0.0000 0.5000 Be
0.0000 0.5000 0.5000 Ir
```

Record 19
An optimized crystal structure of BeIr2Pt, computed with PBE-GGA.

```
BeIr2Pt
1.0
-0.2461 -0.1449 2.7811
-2.6470 -0.8555 -0.2788
2.0738 -6.3681 -0.1483
Be Pt Ir
1 1 2
Direct
0.5000 0.5000 0.7500 Be
0.5000 0.5000 0.2500 Pt
0.0000 0.0000 0.5462 Ir
0.0000 0.0000 0.9538 Ir
```

Record 20
An optimized crystal structure of BeIrPt2, computed with PBE-GGA.

```
BeIrPt2
1.0
-7.8490 1.4016 -3.1553
-8.4556 -0.5426 -1.3170
-8.3006 2.0830 -0.5363
Ir Be Pt
1 1 2
Direct
0.7500 0.7500 0.7500 Ir
0.2500 0.2500 0.2500 Be
0.5114 0.5114 0.5114 Pt
0.9886 0.9886 0.9886 Pt
```

Number 1: final energy -27.8 eV per cell, calculated density 18.04 g/cm³, energy of formation -0.08 eV per atom. Number 2: final energy -22.6 eV per cell, calculated density 11.59 g/cm³, energy of formation 1.63 eV per atom. Number 3: final energy -25.2 eV per cell, calculated density 17.68 g/cm³, energy of formation -0.13 eV per atom. Number 4: final energy -25.3 eV per cell, calculated density 17.61 g/cm³, energy of formation -0.15 eV per atom. Number 5: final energy -52.5 eV per cell, calculated density 15.01 g/cm³, energy of formation -0.62 eV per atom. Number 6: final energy -48.0 eV per cell, calculated density 14.82 g/cm³, energy of formation -0.76 eV per atom. Number 7: final energy -27.7 eV per cell, calculated density 17.78 g/cm³, energy of formation -0.06 eV per atom. Number 8: final energy -27.5 eV per cell, calculated density 17.73 g/cm³, energy of formation -0.02 eV per atom. Number 9: final energy -27.6 eV per cell, calculated density 17.88 g/cm³, energy of formation -0.02 eV per atom. Number 10: final energy -33.6 eV per cell, calculated density 16.56 g/cm³, energy of formation 0.52 eV per atom. Number 11: final energy -47.7 eV per cell, calculated density 16.06 g/cm³, energy of formation 0.21 eV per atom. Number 12: final energy -52.5 eV per cell, calculated density 16.33 g/cm³, energy of formation 0.31 eV per atom. Number 13: final energy -65.8 eV per cell, calculated density 16.44 g/cm³, energy of formation -0.34 eV per atom. Number 14: final energy -64.0 eV per cell, calculated density 15.57 g/cm³, energy of formation -0.16 eV per atom. Number 15: final energy -27.9 eV per cell, calculated density 18.39 g/cm³, energy of formation -0.11 eV per atom. Number 16: final energy -28.4 eV per cell, calculated density 18.32 g/cm³, energy of formation -0.23 eV per atom. Number 17: final energy -25.1 eV per cell, calculated density 17.54 g/cm³, energy of formation -0.11 eV per atom. Number 18: final energy -25.1 eV per cell, calculated density 17.23 g/cm³, energy of formation -0.11 eV per atom. Number 19: final energy -28.3 eV per cell, calculated density 18.66 g/cm³, energy of formation -0.21 eV per atom. Number 20: final energy -25.5 eV per cell, calculated density 17.88 g/cm³, energy of formation -0.22 eV per atom.